A relaxed Ce6Sb3P2Se crystal, computed with PBE.

abc: 9.6684 9.6684 8.6738
angles: 103.79 103.79 25.59
Fractional coordinates of all 12 atoms:
Ce1 0.0083 0.0083 0.2447
Ce2 0.3271 0.3271 0.4317
Ce3 0.3350 0.3350 0.8977
Ce4 0.6650 0.6650 0.1023
Ce5 0.6729 0.6729 0.5683
Ce6 0.9917 0.9917 0.7553
Sb1 0.1642 0.1642 0.8331
Sb2 0.5000 0.5000 0.5000
Sb3 0.8358 0.8358 0.1669
P1 0.1673 0.1673 0.3336
P2 0.8327 0.8327 0.6664
Se1 0.5000 0.5000 0.0000

## Properties
Formation energy (no corrections): -1.31 eV/atom
Space-group type: C2/m (12)